# 1
The following is a DFT calculation (PBE-GGA) of an optimized crystal structure of SmAl8SiAu4.

Values from the calculation:
The value obtained for the volume is 18.8 Å³ per atom. As for the final energy: -120.633 eV per cell. As for the space group: I4/mmm, No. 139. The total magnetic moment is 0.0 μB per formula unit.

Cell: 15.044 15.044 15.044 Å, 156.83 156.83 33.00°
Fractional positions:
Sm 0.250 0.750 0.500
Sm 0.750 0.250 0.500
Al 0.091 0.091 0.496
Al 0.091 0.595 0.000
Al 0.197 0.197 0.500
Al 0.197 0.697 0.000
Al 0.303 0.303 0.500
Al 0.303 0.803 0.000
Al 0.405 0.405 0.496
Al 0.405 0.909 0.000
Al 0.595 0.091 0.000
Al 0.595 0.595 0.504
Al 0.697 0.197 0.000
Al 0.697 0.697 0.500
Al 0.803 0.303 0.000
Al 0.803 0.803 0.500
Al 0.909 0.405 0.000
Al 0.909 0.909 0.504
Si 0.208 0.208 0.000
Si 0.792 0.792 0.000
Au 0.000 0.000 0.000
Au 0.105 0.605 0.500
Au 0.293 0.293 0.000
Au 0.395 0.895 0.500
Au 0.500 0.500 0.000
Au 0.605 0.105 0.500
Au 0.707 0.707 0.000
Au 0.895 0.395 0.500

=====

# 2
The following is a DFT calculation (PBE-GGA) of an optimized crystal structure of Sr2Al4Si3Au.

Values from the calculation:
The value obtained for the volume is 21.0 Å³ per atom. As for the final energy: -41.257 eV per cell. As for the space group: P-4m2, No. 115. The total magnetic moment is 0.0 μB per formula unit.

Cell: 4.532 4.532 10.231 Å, 90.00 90.00 90.00°
Fractional positions:
Sr 0.000 0.500 0.243
Sr 0.500 0.000 0.757
Al 0.000 0.000 0.500
Al 0.000 0.500 0.878
Al 0.500 0.000 0.122
Al 0.500 0.500 0.500
Si 0.000 0.000 0.000
Si 0.000 0.500 0.626
Si 0.500 0.000 0.374
Au 0.500 0.500 0.000

=====

# 3
The following is a DFT calculation (PBE-GGA) of an optimized crystal structure of Sr2Al4SiAu3.

Values from the calculation:
The value obtained for the volume is 21.3 Å³ per atom. As for the final energy: -39.103 eV per cell. As for the space group: P-4m2, No. 115. The total magnetic moment is 0.0 μB per formula unit.

Cell: 4.440 4.440 10.821 Å, 90.00 90.00 90.00°
Fractional positions:
Sr 0.000 0.500 0.246
Sr 0.500 0.000 0.754
Al 0.000 0.000 0.500
Al 0.000 0.500 0.869
Al 0.500 0.000 0.131
Al 0.500 0.500 0.500
Si 0.500 0.500 0.000
Au 0.000 0.000 0.000
Au 0.000 0.500 0.630
Au 0.500 0.000 0.370

=====

# 4
The following is a DFT calculation (PBE-GGA) of an optimized crystal structure of Sr2AlSiAu6.

Values from the calculation:
The value obtained for the volume is 23.4 Å³ per atom. As for the final energy: -37.568 eV per cell. As for the space group: P-1, No. 2. The total magnetic moment is 0.0 μB per formula unit.

Cell: 6.764 6.808 6.997 Å, 61.56 61.45 60.49°
Fractional positions:
Sr 0.218 0.215 0.351
Sr 0.782 0.785 0.649
Al 0.500 0.500 0.500
Si 0.000 0.000 0.000
Au 0.243 0.680 0.825
Au 0.244 0.252 0.820
Au 0.322 0.754 0.174
Au 0.678 0.246 0.826
Au 0.756 0.748 0.180
Au 0.757 0.320 0.175

=====

# 5
The following is a DFT calculation (PBE-GGA) of an optimized crystal structure of Th2Al4Si2Au3.

Values from the calculation:
The value obtained for the volume is 19.9 Å³ per atom. As for the final energy: -57.756 eV per cell. As for the space group: Cmmm, No. 65. The total magnetic moment is 0.0 μB per formula unit.

Cell: 12.051 12.051 4.279 Å, 90.00 90.00 159.35°
Fractional positions:
Th 0.179 0.821 0.000
Th 0.821 0.179 0.000
Al 0.063 0.937 0.500
Al 0.437 0.563 0.000
Al 0.563 0.437 0.000
Al 0.937 0.063 0.500
Si 0.273 0.727 0.500
Si 0.727 0.273 0.500
Au 0.000 0.000 0.000
Au 0.376 0.624 0.500
Au 0.624 0.376 0.500

=====

# 6
The following is a DFT calculation (PBE-GGA) of an optimized crystal structure of Al2TlSiAu.

Values from the calculation:
The value obtained for the volume is 24.7 Å³ per atom. As for the final energy: -15.829 eV per cell. As for the space group: P4/mmm, No. 123. The total magnetic moment is 0.0 μB per formula unit.

Cell: 4.878 4.878 5.190 Å, 90.00 90.00 90.00°
Fractional positions:
Al 0.000 0.500 0.000
Al 0.500 0.000 0.000
Tl 0.000 0.000 0.500
Si 0.000 0.000 0.000
Au 0.500 0.500 0.500

=====

# 7
The following is a DFT calculation (PBE-GGA) of an optimized crystal structure of AlTlSi2Au.

Values from the calculation:
The value obtained for the volume is 24.4 Å³ per atom. As for the final energy: -17.094 eV per cell. As for the space group: P4/mmm, No. 123. The total magnetic moment is 0.0 μB per formula unit.

Cell: 5.024 5.024 4.837 Å, 90.00 90.00 90.00°
Fractional positions:
Al 0.000 0.000 0.000
Tl 0.500 0.500 0.000
Si 0.000 0.500 0.500
Si 0.500 0.000 0.500
Au 0.000 0.000 0.500

=====

# 8
The following is a DFT calculation (PBE-GGA) of an optimized crystal structure of Y2AlSiAu.

Values from the calculation:
The value obtained for the volume is 27.2 Å³ per atom. As for the final energy: -24.255 eV per cell. As for the space group: P4/mmm, No. 123. The total magnetic moment is 0.0 μB per formula unit.

Cell: 5.434 5.434 4.605 Å, 90.00 90.00 90.00°
Fractional positions:
Y 0.000 0.500 0.000
Y 0.500 0.000 0.000
Al 0.000 0.000 0.000
Si 0.500 0.500 0.500
Au 0.000 0.000 0.500

=====

# 9
The following is a DFT calculation (PBE-GGA) of an optimized crystal structure of Y2AlSi3Au4.

Values from the calculation:
The value obtained for the volume is 19.0 Å³ per atom. As for the final energy: -52.065 eV per cell. As for the space group: P-4m2, No. 115. The total magnetic moment is 0.0 μB per formula unit.

Cell: 4.146 4.146 11.047 Å, 90.00 90.00 90.00°
Fractional positions:
Y 0.000 0.500 0.232
Y 0.500 0.000 0.768
Al 0.000 0.000 0.500
Si 0.000 0.500 0.861
Si 0.500 0.000 0.139
Si 0.500 0.500 0.500
Au 0.000 0.000 0.000
Au 0.000 0.500 0.640
Au 0.500 0.000 0.360
Au 0.500 0.500 0.000

=====

# 10
The following is a DFT calculation (PBE-GGA) of an optimized crystal structure of Y2AlSiAu6.

Values from the calculation:
The value obtained for the volume is 20.4 Å³ per atom. As for the final energy: -46.659 eV per cell. As for the space group: P-1, No. 2. The total magnetic moment is 0.0 μB per formula unit.

Cell: 5.472 6.692 6.695 Å, 75.63 66.21 65.89°
Fractional positions:
Y 0.002 0.257 0.237
Y 0.998 0.743 0.763
Al 0.500 0.000 0.500
Si 0.500 0.500 0.000
Au 0.003 0.308 0.686
Au 0.345 0.905 0.909
Au 0.494 0.690 0.319
Au 0.506 0.310 0.681
Au 0.655 0.095 0.091
Au 0.997 0.692 0.314

=====

# 11
The following is a DFT calculation (PBE-GGA) of an optimized crystal structure of SmAlAu.

Values from the calculation:
The value obtained for the volume is 22.3 Å³ per atom. For the formation energy, the calculation gives -0.706 eV/atom. As for the final energy: -27.714 eV per cell. As for the space group: P4/nmm, No. 129. The total magnetic moment is 0.0 μB per formula unit.

Cell: 4.368 4.368 7.024 Å, 90.00 90.00 90.00°
Fractional positions:
Sm 0.250 0.250 0.159
Sm 0.750 0.750 0.841
Al 0.250 0.750 0.500
Al 0.750 0.250 0.500
Au 0.250 0.250 0.720
Au 0.750 0.750 0.280

=====

# 12
The following is a DFT calculation (PBE-GGA) of an optimized crystal structure of SmAl2Au8.

Values from the calculation:
The value obtained for the volume is 23.2 Å³ per atom. For the formation energy, the calculation gives -0.213 eV/atom. As for the final energy: -40.771 eV per cell. As for the space group: P4/mmm, No. 123. The total magnetic moment is 0.0 μB per formula unit.

Cell: 5.682 5.682 7.894 Å, 90.00 90.00 90.00°
Fractional positions:
Sm 0.000 0.000 0.000
Al 0.000 0.500 0.500
Al 0.500 0.000 0.500
Au 0.255 0.255 0.285
Au 0.255 0.255 0.715
Au 0.255 0.745 0.285
Au 0.255 0.745 0.715
Au 0.745 0.255 0.285
Au 0.745 0.255 0.715
Au 0.745 0.745 0.285
Au 0.745 0.745 0.715